Computed, not measured: a crystal of ReTcOsO2 relaxed with PBEsol at the meta-GGA SCAN level of DFT. Values from VASP.

Quantum ESPRESSO input file:
```
&SYSTEM
  ibrav = 0, nat = 5, ntyp = 4
/
ATOMIC_SPECIES
Re 186.21 Re.upf
Tc 98.00 Tc.upf
Os 190.23 Os.upf
O 16.00 O.upf
CELL_PARAMETERS angstrom
3.6123 0.0000 0.0000
0.0000 3.6123 0.0000
0.0000 0.0000 5.6432
ATOMIC_POSITIONS angstrom
Re 0.0000 0.0000 0.0000
Tc 1.8061 1.8061 2.8216
Os 1.8061 1.8061 0.0000
O 0.0000 1.8061 2.8216
O 1.8061 0.0000 2.8216
```

## Properties
The value obtained for the uncorrected formation energy is 1.10 eV/f.u. Its density is 11.4 g cm⁻³.

Computed, not measured: a crystal of PrAl relaxed with PBEsol at the meta-GGA SCAN level of DFT. Values from VASP.

Quantum ESPRESSO input file:
```
&SYSTEM
  ibrav = 0, nat = 16, ntyp = 2
/
ATOMIC_SPECIES
Pr 140.91 Pr.upf
Al 26.98 Al.upf
CELL_PARAMETERS angstrom
9.2360 0.0000 0.0000
0.0000 7.6066 0.0000
0.0000 0.0000 5.6583
ATOMIC_POSITIONS angstrom
Pr 1.6601 1.2344 1.4146
Pr 1.6601 6.3722 4.2437
Pr 2.9579 2.5689 4.2437
Pr 2.9579 5.0377 1.4146
Pr 6.2782 2.5689 4.2437
Pr 6.2782 5.0377 1.4146
Pr 7.5759 1.2344 1.4146
Pr 7.5759 6.3722 4.2437
Al 0.0000 1.4775 4.2437
Al 0.0000 3.8033 0.0000
Al 0.0000 3.8033 2.8292
Al 0.0000 6.1290 1.4146
Al 4.6180 0.0000 0.0000
Al 4.6180 0.0000 2.8292
Al 4.6180 2.3257 1.4146
Al 4.6180 5.2808 4.2437
```

## Properties
Its density is 5.6 g cm⁻³. Its energy of formation is -0.44 eV per atom.

Computed, not measured: a crystal of CrCuF2 relaxed with PBEsol at the meta-GGA SCAN level of DFT. Values from VASP.

Quantum ESPRESSO input file:
```
&SYSTEM
  ibrav = 0, nat = 12, ntyp = 3
/
ATOMIC_SPECIES
Cr 52.00 Cr.upf
Cu 63.55 Cu.upf
F 19.00 F.upf
CELL_PARAMETERS angstrom
2.5633 0.0000 0.0000
-1.2816 2.2199 0.0000
0.0000 0.0000 21.5594
ATOMIC_POSITIONS angstrom
Cr 0.0000 0.0000 0.0000
Cr 0.0000 1.4799 14.3729
Cr 1.2816 0.7400 7.1864
Cu 0.0000 0.0000 10.7797
Cu 0.0000 1.4799 3.5932
Cu 1.2816 0.7400 17.9661
F 0.0000 0.0000 1.8545
F 0.0000 0.0000 19.7049
F 0.0000 1.4799 12.5184
F 0.0000 1.4799 16.2274
F 1.2816 0.7400 5.3320
F 1.2816 0.7400 9.0409
```

## Properties
The value obtained for the uncorrected formation energy is -3.60 eV/f.u. Its density is 6.2 g cm⁻³.

Computed, not measured: a crystal of Sr2BeW relaxed with PBEsol at the meta-GGA SCAN level of DFT. Values from VASP.

Quantum ESPRESSO input file:
```
&SYSTEM
  ibrav = 0, nat = 8, ntyp = 3
/
ATOMIC_SPECIES
Sr 87.62 Sr.upf
Be 9.01 Be.upf
W 183.84 W.upf
CELL_PARAMETERS angstrom
3.2073 0.0000 0.0000
0.0000 5.3645 0.0000
0.0000 0.0000 11.0795
ATOMIC_POSITIONS angstrom
Sr 0.0000 0.0000 0.0000
Sr 0.0000 2.6822 2.2193
Sr 1.6037 0.0000 7.7591
Sr 1.6037 2.6822 5.5397
Be 0.0000 0.0000 4.9387
Be 1.6037 2.6822 10.4785
W 0.0000 2.6822 8.7600
W 1.6037 0.0000 3.2203
```

## Properties
Its density is 6.4 g cm⁻³. Its energy of formation is 0.98 eV per atom.

Computed, not measured: a crystal of ZnCoRu2 relaxed with PBEsol at the meta-GGA SCAN level of DFT. Values from VASP.

Quantum ESPRESSO input file:
```
&SYSTEM
  ibrav = 0, nat = 8, ntyp = 3
/
ATOMIC_SPECIES
Zn 65.41 Zn.upf
Co 58.93 Co.upf
Ru 101.07 Ru.upf
CELL_PARAMETERS angstrom
3.6345 0.0000 0.0000
0.0000 3.6345 0.0000
0.0000 0.0000 7.5089
ATOMIC_POSITIONS angstrom
Zn 0.0000 0.0000 0.0000
Zn 1.8172 1.8172 3.7544
Co 0.0000 0.0000 3.7544
Co 1.8172 1.8172 0.0000
Ru 0.0000 1.8172 1.8772
Ru 0.0000 1.8172 5.6316
Ru 1.8172 0.0000 1.8772
Ru 1.8172 0.0000 5.6316
```

## Properties
Its density is 10.9 g cm⁻³. Its energy of formation is 0.26 eV per atom.

Computed, not measured: a crystal of Zr2ZnCl relaxed with PBEsol at the meta-GGA SCAN level of DFT. Values from VASP.

Quantum ESPRESSO input file:
```
&SYSTEM
  ibrav = 0, nat = 4, ntyp = 3
/
ATOMIC_SPECIES
Zr 91.22 Zr.upf
Zn 65.41 Zn.upf
Cl 35.45 Cl.upf
CELL_PARAMETERS angstrom
4.8488 0.0000 0.0000
0.0000 4.8488 0.0000
0.0000 0.0000 3.0103
ATOMIC_POSITIONS angstrom
Zr 0.0000 2.4244 0.0000
Zr 2.4244 0.0000 0.0000
Zn 0.0000 0.0000 1.5052
Cl 2.4244 2.4244 1.5052
```

## Properties
The value obtained for the uncorrected formation energy is -1.45 eV/f.u. Its density is 6.6 g cm⁻³.

Computed, not measured: a crystal of BeBPO2 relaxed with PBEsol at the meta-GGA SCAN level of DFT. Values from VASP.

Quantum ESPRESSO input file:
```
&SYSTEM
  ibrav = 0, nat = 5, ntyp = 4
/
ATOMIC_SPECIES
Be 9.01 Be.upf
B 10.81 B.upf
P 30.97 P.upf
O 16.00 O.upf
CELL_PARAMETERS angstrom
3.0436 0.0000 0.0000
0.0000 3.0436 0.0000
0.0000 0.0000 6.4426
ATOMIC_POSITIONS angstrom
Be 0.0000 0.0000 0.0000
B 1.5218 1.5218 3.2213
P 0.0000 0.0000 3.2213
O 0.0000 1.5218 0.0000
O 1.5218 0.0000 0.0000
```

## Properties
The value obtained for the uncorrected formation energy is -0.05 eV/f.u. Its density is 2.3 g cm⁻³.

Computed, not measured: a crystal of ZrSiHg relaxed with PBEsol at the meta-GGA SCAN level of DFT. Values from VASP.

Quantum ESPRESSO input file:
```
&SYSTEM
  ibrav = 0, nat = 12, ntyp = 3
/
ATOMIC_SPECIES
Zr 91.22 Zr.upf
Si 28.09 Si.upf
Hg 200.59 Hg.upf
CELL_PARAMETERS angstrom
6.4509 0.0000 0.0000
0.0000 6.4509 0.0000
0.0000 0.0000 6.4509
ATOMIC_POSITIONS angstrom
Zr 0.0000 0.0000 0.0000
Zr 0.0000 3.2255 3.2255
Zr 3.2255 0.0000 3.2255
Zr 3.2255 3.2255 0.0000
Si 1.6127 1.6127 1.6127
Si 1.6127 4.8382 4.8382
Si 4.8382 1.6127 4.8382
Si 4.8382 4.8382 1.6127
Hg 1.6127 1.6127 4.8382
Hg 1.6127 4.8382 1.6127
Hg 4.8382 1.6127 1.6127
Hg 4.8382 4.8382 4.8382
```

## Properties
The value obtained for the uncorrected formation energy is 0.25 eV/f.u. Its density is 7.9 g cm⁻³.

| no. | magnetic moment (μB per cell) |
| --- | --- |
| 1 | 1.31 |
| 2 | 0.00 |
| 3 | 0.00 |
| 4 | 0.00 |
| 5 | 0.00 |
| 6 | 0.00 |
| 7 | 0.23 |
| 8 | 0.00 |